Entry from Alexandria: a relaxed structure of LiPbBr2 (GGA-PBE).

extended XYZ file:
```
4
Lattice="3.3648 -1.8665 0.0000 3.3648 1.8665 0.0000 -1.2199 0.0000 8.3056" Properties=species:S:1:pos:R:3 pbc="T T T"
Li 0.0000 0.0000 0.0000
Pb 2.7548 0.0000 4.1528
Br 1.0389 0.0000 6.7346
Br 4.4708 0.0000 1.5710
```

Computed properties:
The magnetization comes out at 0.000 μB/atom. Its total DFT energy (no corrections) is -12.8 eV/f.u. As for the crystal system: monoclinic.